i.
DFT (GGA-PBE) results for crystalline LiNd3Al2 at its relaxed geometry.

a b c (Å): 3.710 3.710 11.616
angles (deg): 90.00 90.00 90.00
Fractional coordinates of all 6 atoms:
Li: 0.500 0.500 0.500
Nd: 0.000 0.000 0.000
Nd: 0.000 0.000 0.681
Nd: 0.000 0.000 0.319
Al: 0.500 0.500 0.834
Al: 0.500 0.500 0.166

Results
* space group: P4/mmm, No. 123
* D(E_F): 0.42 states/eV per atom
* crystal system: tetragonal

ii.
DFT (GGA-PBE) results for crystalline LiNd3Al2 at its relaxed geometry.

a b c (Å): 5.295 5.295 13.003
angles (deg): 90.00 90.00 120.00
Fractional coordinates of all 12 atoms:
Li: 0.333 0.667 0.670
Li: 0.667 0.333 0.330
Nd: 0.333 0.667 0.416
Nd: 0.667 0.333 0.081
Nd: 0.000 0.000 0.754
Nd: 0.000 0.000 0.246
Nd: 0.333 0.667 0.919
Nd: 0.667 0.333 0.584
Al: 0.000 0.000 0.500
Al: 0.333 0.667 0.172
Al: 0.667 0.333 0.828
Al: 0.000 0.000 0.000

Results
* space group: P-3m1, No. 164
* D(E_F): 0.96 states/eV per atom
* crystal system: trigonal

Unit: meV per atom. Relative energies: i 18; ii 0.

i.
DFT (GGA-PBE) results for crystalline LiNd4Al at its relaxed geometry.

a b c (Å): 5.009 5.010 8.030
angles (deg): 89.99 89.99 90.00
Fractional coordinates of all 6 atoms:
Li: 0.001 0.997 0.498
Nd: 0.501 0.997 0.232
Nd: 0.501 0.997 0.764
Nd: 0.001 0.497 0.764
Nd: 0.001 0.497 0.232
Al: 0.501 0.497 0.998

Results
* space group: P4/mmm, No. 123
* D(E_F): 1.23 states/eV per atom
* crystal system: tetragonal

ii.
DFT (GGA-PBE) results for crystalline LiNd4Al at its relaxed geometry.

a b c (Å): 3.802 6.761 8.607
angles (deg): 114.60 77.24 73.67
Fractional coordinates of all 6 atoms:
Li: 0.000 0.000 0.000
Nd: 0.827 0.530 0.817
Nd: 0.320 0.030 0.331
Nd: 0.173 0.470 0.183
Nd: 0.680 0.970 0.669
Al: 0.500 0.500 0.500

Results
* space group: C2/m, No. 12
* D(E_F): 1.22 states/eV per atom
* crystal system: monoclinic

Unit: meV per atom. Relative energies: i 278; ii 0.